Computed, not measured: a geometry-optimized Sr4LiCa3 structure at the PBE level of DFT.

Properties
V = 365 Å³/f.u.
formation enthalpy at 0 K = 20 meV per atom
DOS(E_F) = 9.46 states/eV/f.u.

a b c (Å): 4.197 4.197 20.701
angles (deg): 90.00 90.00 90.00
Element x y z (fractional)
Sr 0.000 0.000 0.101
Sr 0.000 0.000 0.367
Sr 0.000 0.000 0.633
Sr 0.000 0.000 0.899
Li 0.500 0.500 0.000
Ca 0.500 0.500 0.235
Ca 0.500 0.500 0.500
Ca 0.500 0.500 0.765

Computed, not measured: a geometry-optimized SrLiCa2 structure at the PBE level of DFT.

Properties
V = 160 Å³/f.u.
formation enthalpy at 0 K = 26 meV per atom
DOS(E_F) = 4.06 states/eV/f.u.

a b c (Å): 7.301 7.301 6.295
angles (deg): 115.36 115.36 32.28
Element x y z (fractional)
Sr 0.000 0.000 0.000
Li 0.500 0.500 0.500
Ca 0.217 0.217 0.717
Ca 0.783 0.783 0.283

Computed, not measured: a geometry-optimized Sr6LiCa2 structure at the PBE level of DFT.

Properties
V = 441 Å³/f.u.
formation enthalpy at 0 K = 34 meV per atom
DOS(E_F) = 10.82 states/eV/f.u.

a b c (Å): 11.000 11.000 4.206
angles (deg): 90.00 90.00 120.00
Element x y z (fractional)
Sr 0.000 0.377 0.000
Sr 0.000 0.731 0.500
Sr 0.269 0.269 0.500
Sr 0.377 0.000 0.000
Sr 0.623 0.623 0.000
Sr 0.731 0.000 0.500
Li 0.000 0.000 0.000
Ca 0.333 0.667 0.500
Ca 0.667 0.333 0.500

Computed, not measured: a geometry-optimized Sr5Li2Ca4 structure at the PBE level of DFT.

Properties
V = 487 Å³/f.u.
formation enthalpy at 0 K = 24 meV per atom
DOS(E_F) = 10.65 states/eV/f.u.

a b c (Å): 10.057 22.715 4.263
angles (deg): 90.00 90.00 90.00
Element x y z (fractional)
Sr 0.000 0.000 0.000
Sr 0.133 0.420 0.000
Sr 0.243 0.721 0.000
Sr 0.257 0.221 0.000
Sr 0.367 0.920 0.000
Sr 0.500 0.500 0.000
Sr 0.633 0.080 0.000
Sr 0.743 0.779 0.000
Sr 0.757 0.279 0.000
Sr 0.867 0.580 0.000
Li 0.040 0.303 0.500
Li 0.460 0.803 0.500
Li 0.540 0.197 0.500
Li 0.960 0.697 0.500
Ca 0.058 0.850 0.500
Ca 0.201 0.570 0.500
Ca 0.299 0.070 0.500
Ca 0.442 0.350 0.500
Ca 0.558 0.650 0.500
Ca 0.701 0.930 0.500
Ca 0.799 0.430 0.500
Ca 0.942 0.150 0.500

Computed, not measured: a geometry-optimized SrLiCa structure at the PBE level of DFT.

Properties
V = 119 Å³/f.u.
formation enthalpy at 0 K = 31 meV per atom
DOS(E_F) = 2.71 states/eV/f.u.

a b c (Å): 10.991 10.991 5.231
angles (deg): 90.00 90.00 157.83
Element x y z (fractional)
Sr 0.098 0.902 0.750
Sr 0.902 0.098 0.250
Li 0.461 0.539 0.750
Li 0.539 0.461 0.250
Ca 0.294 0.706 0.750
Ca 0.706 0.294 0.250

Computed, not measured: a geometry-optimized SrLi5Ca structure at the PBE level of DFT.

Properties
V = 200 Å³/f.u.
formation enthalpy at 0 K = 14 meV per atom
DOS(E_F) = 5.25 states/eV/f.u.

a b c (Å): 10.292 6.044 12.859
angles (deg): 90.00 90.00 90.00
Element x y z (fractional)
Sr 0.245 0.250 0.062
Sr 0.255 0.750 0.562
Sr 0.745 0.250 0.438
Sr 0.755 0.750 0.938
Li 0.043 0.750 0.114
Li 0.067 0.000 0.317
Li 0.067 0.500 0.317
Li 0.078 0.250 0.518
Li 0.194 0.250 0.736
Li 0.306 0.750 0.236
Li 0.422 0.750 0.018
Li 0.433 0.000 0.817
Li 0.433 0.500 0.817
Li 0.457 0.250 0.614
Li 0.543 0.750 0.386
Li 0.567 0.000 0.183
Li 0.567 0.500 0.183
Li 0.578 0.250 0.982
Li 0.694 0.250 0.764
Li 0.806 0.750 0.264
Li 0.922 0.750 0.482
Li 0.933 0.000 0.683
Li 0.933 0.500 0.683
Li 0.957 0.250 0.886
Ca 0.135 0.750 0.866
Ca 0.365 0.250 0.366
Ca 0.635 0.750 0.634
Ca 0.865 0.250 0.134

Computed, not measured: a geometry-optimized Sr5LiCa4 structure at the PBE level of DFT.

Properties
V = 461 Å³/f.u.
formation enthalpy at 0 K = 20 meV per atom
DOS(E_F) = 12.12 states/eV/f.u.

a b c (Å): 4.217 4.217 25.907
angles (deg): 90.00 90.00 90.00
Element x y z (fractional)
Sr 0.000 0.000 0.000
Sr 0.000 0.000 0.210
Sr 0.000 0.000 0.420
Sr 0.000 0.000 0.580
Sr 0.000 0.000 0.790
Li 0.500 0.500 0.500
Ca 0.500 0.500 0.105
Ca 0.500 0.500 0.314
Ca 0.500 0.500 0.686
Ca 0.500 0.500 0.895

Computed, not measured: a geometry-optimized Sr4LiCa8 structure at the PBE level of DFT.

Properties
V = 576 Å³/f.u.
formation enthalpy at 0 K = 30 meV per atom
DOS(E_F) = 15.76 states/eV/f.u.

a b c (Å): 7.162 7.162 15.180
angles (deg): 102.97 102.97 49.82
Element x y z (fractional)
Sr 0.086 0.086 0.135
Sr 0.340 0.340 0.454
Sr 0.660 0.660 0.546
Sr 0.914 0.914 0.865
Li 0.500 0.500 0.000
Ca 0.019 0.019 0.375
Ca 0.230 0.230 0.929
Ca 0.290 0.290 0.701
Ca 0.404 0.404 0.208
Ca 0.596 0.596 0.792
Ca 0.710 0.710 0.299
Ca 0.770 0.770 0.071
Ca 0.981 0.981 0.625

Computed, not measured: a geometry-optimized Sr5LiCa4 structure at the PBE level of DFT.

Properties
V = 483 Å³/f.u.
formation enthalpy at 0 K = 118 meV per atom
DOS(E_F) = 14.59 states/eV/f.u.

a b c (Å): 9.389 9.389 9.389
angles (deg): 96.12 96.12 141.90
Element x y z (fractional)
Sr 0.000 0.000 0.000
Sr 0.316 0.316 0.645
Sr 0.316 0.670 0.000
Sr 0.670 0.316 0.000
Sr 0.670 0.670 0.355
Li 0.503 0.503 0.000
Ca 0.333 0.992 0.342
Ca 0.650 0.992 0.658
Ca 0.992 0.333 0.342
Ca 0.992 0.650 0.658

Computed, not measured: a geometry-optimized SrLi4Ca5 structure at the PBE level of DFT.

Properties
V = 347 Å³/f.u.
formation enthalpy at 0 K = 18 meV per atom
DOS(E_F) = 9.73 states/eV/f.u.

a b c (Å): 4.008 4.008 21.586
angles (deg): 90.00 90.00 90.00
Element x y z (fractional)
Sr 0.000 0.000 0.000
Li 0.000 0.000 0.227
Li 0.000 0.000 0.409
Li 0.000 0.000 0.591
Li 0.000 0.000 0.773
Ca 0.500 0.500 0.137
Ca 0.500 0.500 0.318
Ca 0.500 0.500 0.500
Ca 0.500 0.500 0.682
Ca 0.500 0.500 0.863

Computed, not measured: a geometry-optimized Sr8Li2Ca structure at the PBE level of DFT.

Properties
V = 542 Å³/f.u.
formation enthalpy at 0 K = 72 meV per atom
DOS(E_F) = 12.83 states/eV/f.u.

a b c (Å): 9.631 9.631 6.615
angles (deg): 98.91 98.91 113.03
Element x y z (fractional)
Sr 0.072 0.324 0.588
Sr 0.245 0.755 0.000
Sr 0.324 0.072 0.588
Sr 0.387 0.387 0.189
Sr 0.613 0.613 0.811
Sr 0.676 0.928 0.412
Sr 0.755 0.245 0.000
Sr 0.928 0.676 0.412
Li 0.317 0.683 0.500
Li 0.683 0.317 0.500
Ca 0.000 0.000 0.000

Computed, not measured: a geometry-optimized SrLiCa2 structure at the PBE level of DFT.

Properties
V = 162 Å³/f.u.
formation enthalpy at 0 K = 70 meV per atom
DOS(E_F) = 4.02 states/eV/f.u.

a b c (Å): 5.280 5.280 5.808
angles (deg): 90.00 90.00 90.00
Element x y z (fractional)
Sr 0.000 0.000 0.000
Li 0.500 0.500 0.000
Ca 0.000 0.500 0.500
Ca 0.500 0.000 0.500